# Rb2CaMnF6

An optimized crystal structure of Rb2CaMnF6 (PBE+U, the Alexandria database).

CIF file:
```
data_Rb2CaMnF6
_cell_length_a 6.2380
_cell_length_b 6.2380
_cell_length_c 8.7988
_cell_angle_alpha 90.00
_cell_angle_beta 90.00
_cell_angle_gamma 90.00
_symmetry_space_group_name_H-M 'I 4/m m m'
_symmetry_Int_Tables_number 139
_symmetry_space_group_name_Hall '-I 4 2'
loop_
_atom_site_label
_atom_site_type_symbol
_atom_site_fract_x
_atom_site_fract_y
_atom_site_fract_z
Rb1 Rb 0.0000 0.5000 0.2500
Ca1 Ca 0.0000 0.0000 0.0000
Mn1 Mn 0.0000 0.0000 0.5000
F1 F 0.0000 0.0000 0.2567
F2 F 0.2441 0.2441 0.5000
```

Values from the calculation:
The calculation puts the total energy at -5.385 eV/atom.